No. 1
The following is a PBE calculation of a geometry-optimized Al3V11 structure, from Alexandria.

```
Al3V11
1.0
4.247 0.042 1.182
2.236 7.095 -0.109
0.346 -2.428 7.024
V Al
11 3
Cartesian
1.291 2.334 3.458
4.708 0.367 7.672
4.819 2.848 7.198
5.212 4.831 5.712
1.019 -1.212 4.586
3.063 0.583 5.375
2.121 4.343 0.425
1.617 -0.122 2.385
2.010 1.862 0.899
3.766 4.126 2.721
5.810 5.922 3.511
3.706 1.537 3.034
3.123 3.172 5.062
0.000 0.000 0.000
```

Computed properties:
The space group is C2/m (12). For the spin magnetization, the calculation gives 0.00 μB per atom. As for the formation energy: 117 meV per atom.

***

No. 2
The following is a PBE calculation of a geometry-optimized Al3V structure, from Alexandria.

```
Al3V
1.0
2.721 0.000 0.000
0.000 4.590 0.000
0.000 0.000 4.818
Al V
3 1
Cartesian
1.361 0.000 2.426
0.000 2.295 1.557
1.361 2.295 4.000
0.000 0.000 0.046
```

Computed properties:
The space group is Pmm2 (25). For the spin magnetization, the calculation gives 0.00 μB per atom. As for the formation energy: -166 meV per atom.

***

No. 3
The following is a PBE calculation of a geometry-optimized Al7V5 structure, from Alexandria.

```
Al7V5
1.0
4.148 0.000 0.000
-2.074 4.440 1.172
0.000 0.868 10.081
Al V
7 5
Cartesian
2.074 0.434 5.040
0.000 0.735 2.823
0.000 2.690 7.643
2.074 1.685 1.210
0.000 3.623 10.043
2.074 2.617 3.610
2.074 4.573 8.429
0.000 3.549 2.428
2.074 1.758 8.824
0.000 2.060 5.131
0.000 0.000 0.000
2.074 3.247 6.122
```

Computed properties:
The space group is C2/m (12). For the spin magnetization, the calculation gives 0.00 μB per atom. As for the formation energy: -71 meV per atom.

***

No. 4
The following is a PBE calculation of a geometry-optimized Al41V4 structure, from Alexandria.

```
Al41V4
1.0
-6.615 7.531 2.032
-8.825 0.579 -5.136
-8.821 -2.082 4.739
Al V
41 4
Cartesian
-13.058 4.441 -0.280
-13.840 5.740 4.064
-4.515 2.776 0.750
-12.605 -0.080 -1.423
-15.143 5.327 1.443
-13.056 3.696 2.486
-8.978 0.205 2.570
-14.420 5.187 -2.488
-11.559 2.498 4.590
-11.562 4.463 -2.703
-11.203 1.586 1.916
-17.921 1.513 0.416
-15.464 -0.064 1.373
-16.818 4.984 3.995
-7.933 4.761 1.287
-18.196 4.520 1.227
-21.224 5.273 1.431
-10.974 6.311 -0.797
-10.258 -0.234 -0.058
-11.281 -0.339 3.807
-9.660 6.727 1.817
-5.137 0.823 -1.264
-8.980 1.466 -2.111
-7.615 0.238 0.068
-9.216 4.309 -1.337
-15.731 3.479 -0.463
-9.213 3.052 3.330
-16.820 6.312 -0.935
-15.465 0.630 -1.205
-6.995 2.939 -0.693
-10.972 5.054 3.870
-13.675 1.748 0.478
-13.843 7.002 -0.617
-11.205 2.332 -0.850
-12.603 -0.787 1.202
-15.729 2.772 2.163
-6.994 2.191 2.082
-14.416 3.231 4.770
-5.135 0.075 1.511
-11.285 1.617 -3.452
-10.585 4.279 1.158
-12.405 6.021 1.628
-13.506 1.222 2.980
-13.509 2.550 -1.950
-9.102 2.261 0.614
```

Computed properties:
The space group is F-43m (216). For the spin magnetization, the calculation gives 0.00 μB per atom. As for the formation energy: -93 meV per atom.

***

No. 5
The following is a PBE calculation of a geometry-optimized Al3V13 structure, from Alexandria.

```
Al3V13
1.0
6.027 0.027 0.000
0.005 6.027 0.000
0.000 0.000 6.104
Al V
3 13
Cartesian
0.035 5.998 1.534
0.035 5.998 4.571
4.480 1.569 0.000
1.573 4.465 0.000
1.537 1.591 3.052
3.014 6.011 1.551
4.434 4.508 0.000
2.999 3.044 1.570
4.447 4.511 3.052
3.014 6.011 4.553
2.999 3.044 4.535
1.567 4.471 3.052
0.033 3.019 1.551
1.541 1.604 0.000
4.477 1.572 3.052
0.033 3.019 4.553
```

Computed properties:
The space group is Amm2 (38). For the spin magnetization, the calculation gives 0.00 μB per atom. As for the formation energy: -92 meV per atom.

***

No. 6
The following is a PBE calculation of a geometry-optimized Al3V structure, from Alexandria.

```
Al3V
1.0
4.936 0.000 0.000
2.062 4.485 0.000
-3.499 -2.242 2.663
Al V
3 1
Cartesian
3.499 2.242 0.000
2.468 0.000 1.332
1.031 2.242 1.332
0.000 0.000 0.000
```

Computed properties:
The space group is I4/mmm (139). For the spin magnetization, the calculation gives 0.00 μB per atom. As for the formation energy: -291 meV per atom.

***

No. 7
The following is a PBE calculation of a geometry-optimized AlV5 structure, from Alexandria.

```
AlV5
1.0
-2.444 -0.698 0.814
2.148 -0.908 1.297
-0.368 10.927 8.261
V Al
5 1
Cartesian
-0.122 3.627 2.742
-0.974 1.020 2.327
-0.246 7.300 5.519
-1.097 4.696 5.105
-1.221 8.371 7.884
0.000 0.000 0.000
```

Computed properties:
The space group is P-6m2 (187). For the spin magnetization, the calculation gives 0.00 μB per atom. As for the formation energy: 134 meV per atom. For the polymorph energy (0 for the lowest one), the calculation gives 0.234 eV/atom.

***

No. 8
The following is a PBE calculation of a geometry-optimized Al23V4 structure, from Alexandria.

```
Al23V4
1.0
7.670 0.000 0.000
-3.835 6.642 0.000
0.000 0.000 17.074
Al V
46 8
Cartesian
1.416 5.246 8.033
1.438 0.830 6.546
3.835 2.214 1.990
-1.452 3.589 5.695
0.000 1.661 4.268
3.835 4.981 1.991
1.416 5.246 0.504
0.000 4.428 10.527
-2.396 5.811 15.083
-2.396 5.811 4.268
2.419 1.396 9.040
0.000 2.793 8.033
6.231 0.830 6.546
2.419 1.396 16.570
6.231 0.830 1.991
-2.396 5.811 10.527
0.000 1.661 10.527
1.452 3.589 2.842
2.396 5.811 15.083
3.835 4.981 6.546
5.287 3.053 14.232
-1.416 5.246 0.504
2.396 5.811 4.268
6.231 0.831 12.805
3.835 3.849 9.040
3.835 4.981 12.805
3.835 2.214 6.547
0.000 2.793 0.504
1.439 0.831 12.805
5.251 1.396 16.570
0.000 6.105 5.695
1.452 3.589 5.695
5.287 3.053 11.379
1.438 0.830 1.991
0.000 6.105 2.842
5.251 1.396 9.040
0.000 4.428 15.084
0.000 1.661 15.083
2.382 3.053 11.379
-1.452 3.589 2.842
3.835 0.537 14.232
3.835 0.537 11.379
3.835 3.849 16.570
2.396 5.811 10.527
-1.416 5.246 8.033
2.382 3.053 14.232
3.835 3.745 4.268
0.000 0.000 0.000
1.326 5.194 12.805
0.000 0.000 8.537
5.161 1.448 4.268
-1.326 5.194 12.805
0.000 2.897 12.805
2.509 1.448 4.268
```

Computed properties:
The space group is P6_3/mmc (194). For the spin magnetization, the calculation gives 0.00 μB per atom. As for the formation energy: -173 meV per atom.

***

No. 9
The following is a PBE calculation of a geometry-optimized Al5V structure, from Alexandria.

```
Al5V
1.0
-4.853 -0.626 0.079
2.636 -1.777 -3.721
1.057 -7.635 4.396
V Al
2 10
Cartesian
-1.564 -6.736 2.110
0.404 -3.302 -1.355
0.264 -1.909 1.099
-0.753 -0.816 -1.236
-1.119 -4.030 2.225
1.742 -1.174 -2.458
-0.936 -5.405 -0.208
-2.093 -2.919 -0.088
0.793 -5.726 3.297
-3.206 -0.414 0.052
1.423 -4.421 0.935
0.933 -7.120 0.843
```

Computed properties:
The space group is P6_322 (182). For the spin magnetization, the calculation gives 0.04 μB per atom. As for the formation energy: -151 meV per atom. For the polymorph energy (0 for the lowest one), the calculation gives 0.000 eV/atom.

***

No. 10
The following is a PBE calculation of a geometry-optimized Al4V structure, from Alexandria.

```
Al4V
1.0
-1.112 3.454 2.764
-3.263 -0.809 -3.829
-4.058 -4.903 4.494
Al V
8 2
Cartesian
-6.249 -2.683 2.812
-4.867 -3.374 -0.002
-5.521 -1.209 5.078
-3.803 -1.570 2.927
-3.567 1.115 3.431
-2.184 0.424 0.617
-4.630 -0.689 0.502
-2.912 -1.050 -1.649
-3.916 -3.533 4.720
-1.254 2.083 2.538
```

Computed properties:
The space group is P2/c (13). For the spin magnetization, the calculation gives 0.00 μB per atom. As for the formation energy: 13 meV per atom. For the polymorph energy (0 for the lowest one), the calculation gives 0.000 eV/atom.

***

No. 11
The following is a PBE calculation of a geometry-optimized Al2V17 structure, from Alexandria.

```
Al2V17
1.0
-2.226 -5.315 3.214
1.551 1.642 6.199
-5.829 2.259 2.110
V Al
17 2
Cartesian
-1.702 0.236 7.173
0.776 0.821 3.100
-5.887 -1.280 10.431
-0.617 1.823 4.998
-4.770 0.034 2.435
-3.046 1.582 5.737
-5.130 0.523 5.273
-4.801 -1.650 4.351
0.442 -0.402 5.322
-2.914 1.130 1.055
-1.113 -2.657 1.607
-1.373 -1.937 6.250
-3.661 2.078 3.311
-1.116 -3.271 4.091
-3.284 -3.090 2.890
-3.457 -2.996 5.786
-0.616 -0.134 1.092
-4.516 -0.982 8.003
-1.987 -0.432 3.521
```

Computed properties:
The space group is R-3m (166). For the spin magnetization, the calculation gives 0.00 μB per atom. As for the formation energy: 225 meV per atom.

***

No. 12
The following is a PBE calculation of a geometry-optimized Al3V5 structure, from Alexandria.

```
Al3V5
1.0
-1.370 3.390 -0.562
-3.329 -1.459 -0.686
0.452 -0.404 8.642
V Al
5 3
Cartesian
-3.084 -0.309 5.655
0.000 0.000 0.000
-2.143 -0.588 1.678
-2.104 2.115 5.717
-1.163 1.837 1.740
-2.350 0.966 -0.624
-0.946 0.280 3.997
-3.301 1.247 3.398
```

Computed properties:
The space group is I4/mmm (139). For the spin magnetization, the calculation gives 0.00 μB per atom. As for the formation energy: -159 meV per atom.

***

The highest spin magnetization belongs to which entry?
Al5V

***

Copy entry 4 word for word.
The following is a PBE calculation of a geometry-optimized Al41V4 structure, from Alexandria.

```
Al41V4
1.0
-6.615 7.531 2.032
-8.825 0.579 -5.136
-8.821 -2.082 4.739
Al V
41 4
Cartesian
-13.058 4.441 -0.280
-13.840 5.740 4.064
-4.515 2.776 0.750
-12.605 -0.080 -1.423
-15.143 5.327 1.443
-13.056 3.696 2.486
-8.978 0.205 2.570
-14.420 5.187 -2.488
-11.559 2.498 4.590
-11.562 4.463 -2.703
-11.203 1.586 1.916
-17.921 1.513 0.416
-15.464 -0.064 1.373
-16.818 4.984 3.995
-7.933 4.761 1.287
-18.196 4.520 1.227
-21.224 5.273 1.431
-10.974 6.311 -0.797
-10.258 -0.234 -0.058
-11.281 -0.339 3.807
-9.660 6.727 1.817
-5.137 0.823 -1.264
-8.980 1.466 -2.111
-7.615 0.238 0.068
-9.216 4.309 -1.337
-15.731 3.479 -0.463
-9.213 3.052 3.330
-16.820 6.312 -0.935
-15.465 0.630 -1.205
-6.995 2.939 -0.693
-10.972 5.054 3.870
-13.675 1.748 0.478
-13.843 7.002 -0.617
-11.205 2.332 -0.850
-12.603 -0.787 1.202
-15.729 2.772 2.163
-6.994 2.191 2.082
-14.416 3.231 4.770
-5.135 0.075 1.511
-11.285 1.617 -3.452
-10.585 4.279 1.158
-12.405 6.021 1.628
-13.506 1.222 2.980
-13.509 2.550 -1.950
-9.102 2.261 0.614
```

Computed properties:
The space group is F-43m (216). For the spin magnetization, the calculation gives 0.00 μB per atom. As for the formation energy: -93 meV per atom.